GGA-PBE NbBSb2Te, relaxed; total moment = 0.00 μB per cell; ΔE_f (raw) = 0.955 eV per atom
1.0
4.763 0.000 0.000
0.000 4.763 0.000
0.000 0.000 4.738
Nb B Sb Te
1 1 2 1
Direct
0.000 0.000 0.000
0.500 0.500 0.500
0.000 0.500 0.500
0.500 0.000 0.500
0.500 0.500 0.000

---

GGA-PBE NbBSb2Te, relaxed; total moment = 0.00 μB per cell; ΔE_f (raw) = 1.220 eV per atom
1.0
5.384 0.000 0.000
0.000 5.384 0.000
0.000 0.000 5.351
Nb B Sb Te
1 1 2 1
Direct
0.000 0.000 0.000
0.500 0.500 0.500
0.000 0.500 0.000
0.500 0.000 0.000
0.000 0.000 0.500